No. 1
Entry from Alexandria via LeMat-Bulk: a relaxed ErZrH crystal (GGA-PBE).

Calculated values
- Space group: No. 156
- Energy relative to the lowest polymorph listed for this composition: 0.000 eV/atom

Lattice parameters (Å, degrees): 3.398 3.398 5.361 90.00 90.00 120.00
Atoms (fractional coordinates):
Er1 0.000 0.000 0.931
H1 0.333 0.667 0.643
Zr1 0.667 0.333 0.426



No. 2
Entry from Alexandria via LeMat-Bulk: a relaxed CaBiBr5 crystal (GGA-PBE).

Calculated values
- E_form (uncorrected): -1227 meV per atom
- Space group: No. 11

Lattice parameters (Å, degrees): 4.186 8.708 13.959 94.87 90.00 90.00
Atoms (fractional coordinates):
Bi1 0.250 0.411 0.345
Bi2 0.750 0.589 0.655
Br1 0.750 0.660 0.865
Br2 0.250 0.340 0.135
Br3 0.250 0.075 0.307
Br4 0.750 0.618 0.291
Br5 0.750 0.925 0.693
Br6 0.250 0.863 0.072
Br7 0.750 0.317 0.482
Br8 0.250 0.382 0.709
Br9 0.250 0.683 0.518
Br10 0.750 0.137 0.928
Ca1 0.750 0.083 0.136
Ca2 0.250 0.917 0.864



No. 3
Entry from Alexandria via LeMat-Bulk: a relaxed PrSm5Dy2Th crystal (GGA-PBE).

Calculated values
- Calculated formation energy: 15.7 kJ per mole of atoms
- Space group: No. 36

Lattice parameters (Å, degrees): 5.706 10.575 10.535 90.00 90.00 105.65
Atoms (fractional coordinates):
Sm1 0.388 0.776 0.027
Sm2 0.984 0.968 0.523
Sm3 0.276 0.553 0.316
Sm4 0.477 0.955 0.740
Sm5 0.612 0.224 0.527
Sm6 0.724 0.447 0.816
Sm7 0.523 0.045 0.240
Sm8 0.705 0.411 0.206
Sm9 0.016 0.032 0.023
Sm10 0.295 0.589 0.706
Th1 0.800 0.601 0.514
Th2 0.200 0.399 0.014
Pr1 0.411 0.823 0.446
Pr2 0.589 0.177 0.946
Dy1 0.114 0.228 0.733
Dy2 0.886 0.772 0.233
Dy3 0.885 0.769 0.820
Dy4 0.115 0.231 0.320



No. 4
Entry from Alexandria via LeMat-Bulk: a relaxed ScFe2Rh crystal (GGA-PBE).

Calculated values
- Calculated formation energy: -20.2 kJ per mole of atoms
- Space group: No. 139

Lattice parameters (Å, degrees): 5.104 5.104 5.104 138.02 138.02 60.88
Atoms (fractional coordinates):
Rh1 0.250 0.750 0.500
Sc1 0.750 0.250 0.500
Fe1 0.500 0.500 0.000
Fe2 0.000 0.000 0.000



For reference, VASP energy by record: -5.670; -3.262; -4.837; -7.861 eV per atom.